# CsZnAu (PBE-GGA, optimized geometry)
# SG: F-43m
# Calculated total energy in eV per atom: -1.756
# Crystal system: cubic
data_CsZnAu
_chemical_formula_sum 'Cs1 Zn1 Au1'
_cell_length_a 5.5321
_cell_length_b 5.5321
_cell_length_c 5.5321
_cell_angle_alpha 60.00
_cell_angle_beta 60.00
_cell_angle_gamma 60.00
_symmetry_space_group_name_H-M 'P 1'
_symmetry_Int_Tables_number 1
loop_
_symmetry_equiv_pos_as_xyz
'x,y,z'
loop_
_atom_site_label
_atom_site_fract_x
_atom_site_fract_y
_atom_site_fract_z
_atom_site_occupancy
Cs1 0.2500 0.2500 0.2500 1
Au1 0.0000 0.0000 0.0000 1
Zn1 0.7500 0.7500 0.7500 1